# PtBr2Cl5 (PBE-GGA, relaxed)
# Uncorrected energy, eV per atom: -2.423
data_PtBr2Cl5
_chemical_formula_sum 'Pt1 Br2 Cl5'
_cell_length_a 4.827
_cell_length_b 7.491
_cell_length_c 7.671
_cell_angle_alpha 84.32
_cell_angle_beta 71.69
_cell_angle_gamma 71.33
_space_group_name_H-M_alt 'P 1'
_space_group_IT_number 1
loop_
_space_group_symop_operation_xyz
'x,y,z'
loop_
_atom_site_label
_atom_site_fract_x
_atom_site_fract_y
_atom_site_fract_z
Pt1 0.000 0.000 0.000
Br1 0.523 0.448 0.503
Br2 0.973 0.551 0.501
Cl1 0.158 0.000 0.683
Cl2 0.164 0.674 0.996
Cl3 0.469 0.000 0.063
Cl4 0.840 0.000 0.321
Cl5 0.840 0.326 0.996